The following is a GGA-PBE calculation of an optimized crystal structure of Ta2TeAs, from Alexandria via LeMat-Bulk.

The structure in POSCAR format:
```
Ta2TeAs
1.0
5.153 0.017 0.000
1.582 4.904 0.000
-3.367 -2.461 3.027
As Ta Te
1 2 1
Direct
0.750 0.250 0.500 As
0.250 0.750 0.500 Ta
0.000 0.000 0.000 Ta
0.500 0.500 0.000 Te
```

Properties
Uncorrected formation energy (eV per atom): 0.351
Symmetry: I-4m2, No. 119
M_tot (Bohr magnetons per cell): 0.00
Calculated density (g/cm3): 12.267
Uncorrected energy (eV per atom): -7.523